(1)
Density functional theory data (PBE) for an optimized crystal structure of Mg3Ga4Pd4.

Structure (extended XYZ):
```
11
Lattice="-1.566 4.132 7.291 1.566 -4.132 7.291 1.566 4.132 -7.291" Properties=species:S:1:pos:R:3 pbc="T T T"
Mg 0.000 0.000 0.000
Mg 1.566 0.000 5.801
Mg 0.000 4.132 1.490
Ga 1.566 1.718 -2.454
Ga 1.566 1.718 2.454
Ga 0.000 2.414 4.837
Ga 0.000 2.414 9.744
Pd 0.000 0.000 3.560
Pd 1.566 2.358 0.000
Pd 0.000 1.774 7.291
Pd 0.000 0.000 11.021
```

Calculated values
E_form   -0.548 eV per atom
Uncorrected energy   -3.97 eV/atom
Calculated density   6841 kg/m³
Space-group type   Immm

=====

(2)
Density functional theory data (PBE) for an optimized crystal structure of BaSi2Te.

Structure (extended XYZ):
```
4
Lattice="5.203 -2.004 0.000 5.203 2.004 0.000 -2.298 0.000 5.510" Properties=species:S:1:pos:R:3 pbc="T T T"
Ba 0.000 0.000 0.000
Si 3.403 0.000 2.746
Si 7.370 0.000 1.883
Te 0.697 0.000 3.405
```

Calculated values
Formation energy without anion corrections   -197 meV/atom
Uncorrected energy   -4.18 eV/atom
Calculated density   4640 kg/m³
Space-group type   Cm

=====

(3)
Density functional theory data (PBE) for an optimized crystal structure of CaHgPbBr2.

Structure (extended XYZ):
```
5
Lattice="5.860 0.000 0.000 0.000 5.860 0.000 0.000 0.000 5.924" Properties=species:S:1:pos:R:3 pbc="T T T"
Ca 0.000 0.000 0.000
Hg 2.930 2.930 0.000
Pb 2.930 2.930 2.962
Br 0.000 2.930 2.962
Br 2.930 0.000 2.962
```

Calculated values
Formation energy without anion corrections   -391 meV/atom
Uncorrected energy   -2.26 eV/atom
Calculated density   4960 kg/m³
Space-group type   P4/mmm